First-principles (PBE+U) data for crystalline CoBr2F at its relaxed geometry, as listed in the Alexandria database.

```
CoBr2F
1.0
2.193 0.000 7.488
-1.096 1.899 7.488
-1.096 -1.899 7.488
Co F Br
1 1 2
direct
0.500 0.500 0.500
0.000 0.000 0.000
0.896 0.896 0.896
0.104 0.104 0.104
```

Summary:
- uncorrected energy (eV/atom) = -2.991
- SG = R-3m, No. 166
- total magnetic moment (μB per atom) = 0.5215